1.
GaFe2Pb: relaxed, GGA-PBE.

Properties
total DFT energy (no corrections) = -5.49 eV/atom
crystal system = cubic

Cell: 6.424 6.424 6.424 Å, 90.00 90.00 90.00°
Sites, in units of the cell vectors:
Ga 0.000 0.000 0.000
Ga 0.000 0.000 0.500
Ga 0.000 0.500 0.000
Ga 0.500 0.000 0.000
Fe 0.211 0.211 0.211
Fe 0.211 0.211 0.789
Fe 0.211 0.789 0.211
Fe 0.211 0.789 0.789
Fe 0.789 0.211 0.211
Fe 0.789 0.211 0.789
Fe 0.789 0.789 0.211
Fe 0.789 0.789 0.789
Pb 0.000 0.500 0.500
Pb 0.500 0.000 0.500
Pb 0.500 0.500 0.000
Pb 0.500 0.500 0.500

---

2.
GaFePb2: relaxed, GGA-PBE.

Properties
total DFT energy (no corrections) = -4.11 eV/atom
crystal system = cubic

Cell: 5.003 5.003 5.003 Å, 60.00 60.00 60.00°
Sites, in units of the cell vectors:
Ga 0.000 0.000 0.000
Fe 0.250 0.250 0.250
Pb 0.500 0.500 0.500
Pb 0.750 0.750 0.750

---

3.
GaFePb: relaxed, GGA-PBE.

Properties
total DFT energy (no corrections) = -4.23 eV/atom
crystal system = cubic

Cell: 4.638 4.638 4.638 Å, 60.00 60.00 60.00°
Sites, in units of the cell vectors:
Ga 0.000 0.000 0.000
Fe 0.500 0.500 0.500
Pb 0.750 0.750 0.750

---

4.
GaFe2Pb: relaxed, GGA-PBE.

Properties
total DFT energy (no corrections) = -5.49 eV/atom
crystal system = cubic

Cell: 6.430 6.430 6.430 Å, 90.00 90.00 90.00°
Sites, in units of the cell vectors:
Ga 0.000 0.000 0.000
Ga 0.000 0.000 0.500
Ga 0.000 0.500 0.000
Ga 0.500 0.000 0.000
Fe 0.212 0.212 0.212
Fe 0.212 0.212 0.788
Fe 0.212 0.788 0.212
Fe 0.212 0.788 0.788
Fe 0.788 0.212 0.212
Fe 0.788 0.212 0.788
Fe 0.788 0.788 0.212
Fe 0.788 0.788 0.788
Pb 0.000 0.500 0.500
Pb 0.500 0.000 0.500
Pb 0.500 0.500 0.000
Pb 0.500 0.500 0.500

---

5.
GaFePd2: relaxed, GGA-PBE.

Properties
total DFT energy (no corrections) = -5.65 eV/atom
crystal system = cubic

Cell: 4.344 4.344 4.344 Å, 60.00 60.00 60.00°
Sites, in units of the cell vectors:
Ga 0.000 0.000 0.000
Fe 0.250 0.250 0.250
Pd 0.500 0.500 0.500
Pd 0.750 0.750 0.750

---

6.
Ga5FePd: relaxed, GGA-PBE.

Properties
total DFT energy (no corrections) = -4.21 eV/atom
crystal system = tetragonal

Cell: 4.312 4.312 6.075 Å, 90.00 90.00 90.00°
Sites, in units of the cell vectors:
Ga 0.000 0.000 0.000
Ga 0.000 0.500 0.263
Ga 0.000 0.500 0.737
Ga 0.500 0.000 0.263
Ga 0.500 0.000 0.737
Fe 0.500 0.500 0.000
Pd 0.500 0.500 0.500

---

7.
Ga2FePd: relaxed, GGA-PBE.

Properties
total DFT energy (no corrections) = -4.96 eV/atom
crystal system = cubic

Cell: 4.380 4.380 4.380 Å, 60.00 60.00 60.00°
Sites, in units of the cell vectors:
Ga 0.000 0.000 0.000
Ga 0.250 0.250 0.250
Fe 0.500 0.500 0.500
Pd 0.750 0.750 0.750

---

8.
GaFePd: relaxed, GGA-PBE.

Properties
total DFT energy (no corrections) = -5.54 eV/atom
crystal system = cubic

Cell: 4.148 4.148 4.148 Å, 60.00 60.00 60.00°
Sites, in units of the cell vectors:
Ga 0.000 0.000 0.000
Fe 0.500 0.500 0.500
Pd 0.750 0.750 0.750

---

9.
GaFe2Pd: relaxed, GGA-PBE.

Properties
total DFT energy (no corrections) = -6.40 eV/atom
crystal system = cubic

Cell: 4.213 4.213 4.213 Å, 60.00 60.00 60.00°
Sites, in units of the cell vectors:
Ga 0.000 0.000 0.000
Fe 0.500 0.500 0.500
Fe 0.750 0.750 0.750
Pd 0.250 0.250 0.250

---

10.
GaFeRePd: relaxed, GGA-PBE.

Properties
relative energy among the computed polymorphs = 0 meV per atom
crystal system = cubic

Cell: 4.309 4.309 4.309 Å, 60.00 60.00 60.00°
Sites, in units of the cell vectors:
Ga 0.000 0.000 0.000
Fe 0.250 0.250 0.250
Re 0.500 0.500 0.500
Pd 0.750 0.750 0.750

---

11.
ScGa2FePd4: relaxed, GGA-PBE.

Properties
total DFT energy (no corrections) = -5.77 eV/atom
crystal system = tetragonal

Cell: 4.312 4.312 6.493 Å, 90.00 90.00 90.00°
Sites, in units of the cell vectors:
Sc 0.000 0.000 0.000
Ga 0.000 0.000 0.500
Ga 0.500 0.500 0.000
Fe 0.500 0.500 0.500
Pd 0.000 0.500 0.264
Pd 0.000 0.500 0.736
Pd 0.500 0.000 0.264
Pd 0.500 0.000 0.736

---

12.
ScGaFePd: relaxed, GGA-PBE.

Properties
relative energy among the computed polymorphs = 0 meV per atom
crystal system = cubic

Cell: 4.366 4.366 4.366 Å, 60.00 60.00 60.00°
Sites, in units of the cell vectors:
Sc 0.000 0.000 0.000
Ga 0.500 0.500 0.500
Fe 0.750 0.750 0.750
Pd 0.250 0.250 0.250

---

13.
ScGaFePd: relaxed, GGA-PBE.

Properties
relative energy among the computed polymorphs = 141 meV per atom
crystal system = cubic

Cell: 4.486 4.486 4.486 Å, 60.00 60.00 60.00°
Sites, in units of the cell vectors:
Sc 0.000 0.000 0.000
Ga 0.250 0.250 0.250
Fe 0.500 0.500 0.500
Pd 0.750 0.750 0.750

---

14.
GaFeTcPd: relaxed, GGA-PBE.

Properties
relative energy among the computed polymorphs = 0 meV per atom
crystal system = cubic

Cell: 4.320 4.320 4.320 Å, 60.00 60.00 60.00°
Sites, in units of the cell vectors:
Ga 0.000 0.000 0.000
Fe 0.250 0.250 0.250
Tc 0.500 0.500 0.500
Pd 0.750 0.750 0.750

---

15.
GaFePdW: relaxed, GGA-PBE.

Properties
relative energy among the computed polymorphs = 0 meV per atom
crystal system = cubic

Cell: 4.334 4.334 4.334 Å, 60.00 60.00 60.00°
Sites, in units of the cell vectors:
Ga 0.000 0.000 0.000
Fe 0.250 0.250 0.250
Pd 0.750 0.750 0.750
W 0.500 0.500 0.500

---

16.
GaFePdW: relaxed, GGA-PBE.

Properties
relative energy among the computed polymorphs = 110 meV per atom
crystal system = cubic

Cell: 4.350 4.350 4.350 Å, 60.00 60.00 60.00°
Sites, in units of the cell vectors:
Ga 0.000 0.000 0.000
Fe 0.250 0.250 0.250
Pd 0.500 0.500 0.500
W 0.750 0.750 0.750

---

17.
ZnGaFePd: relaxed, GGA-PBE.

Properties
relative energy among the computed polymorphs = 104 meV per atom
crystal system = cubic

Cell: 4.320 4.320 4.320 Å, 60.00 60.00 60.00°
Sites, in units of the cell vectors:
Zn 0.000 0.000 0.000
Ga 0.250 0.250 0.250
Fe 0.500 0.500 0.500
Pd 0.750 0.750 0.750

---

18.
ZnGaFePd: relaxed, GGA-PBE.

Properties
relative energy among the computed polymorphs = 0 meV per atom
crystal system = cubic

Cell: 4.271 4.271 4.271 Å, 60.00 60.00 60.00°
Sites, in units of the cell vectors:
Zn 0.000 0.000 0.000
Ga 0.500 0.500 0.500
Fe 0.750 0.750 0.750
Pd 0.250 0.250 0.250

---

19.
ZrGaFePd: relaxed, GGA-PBE.

Properties
relative energy among the computed polymorphs = 153 meV per atom
crystal system = cubic

Cell: 4.532 4.532 4.532 Å, 60.00 60.00 60.00°
Sites, in units of the cell vectors:
Zr 0.000 0.000 0.000
Ga 0.250 0.250 0.250
Fe 0.500 0.500 0.500
Pd 0.750 0.750 0.750

---

20.
ZrGaFePd: relaxed, GGA-PBE.

Properties
relative energy among the computed polymorphs = 0 meV per atom
crystal system = cubic

Cell: 4.447 4.447 4.447 Å, 60.00 60.00 60.00°
Sites, in units of the cell vectors:
Zr 0.000 0.000 0.000
Ga 0.500 0.500 0.500
Fe 0.750 0.750 0.750
Pd 0.250 0.250 0.250

---

21.
PrGa2Fe: relaxed, GGA-PBE.

Properties
total DFT energy (no corrections) = -5.19 eV/atom
crystal system = orthorhombic

Cell: 9.072 9.072 4.245 Å, 90.00 90.00 152.95°
Sites, in units of the cell vectors:
Pr 0.142 0.858 0.000
Pr 0.858 0.142 0.000
Ga 0.000 0.000 0.500
Ga 0.291 0.709 0.500
Ga 0.500 0.500 0.000
Ga 0.709 0.291 0.500
Fe 0.430 0.570 0.500
Fe 0.570 0.430 0.500

---

22.
PrGa8Fe2: relaxed, GGA-PBE.

Properties
total DFT energy (no corrections) = -4.48 eV/atom
crystal system = orthorhombic

Cell: 12.518 14.419 4.043 Å, 90.00 90.00 90.00°
Sites, in units of the cell vectors:
Pr 0.157 0.181 0.000
Pr 0.343 0.681 0.000
Pr 0.657 0.319 0.000
Pr 0.843 0.819 0.000
Ga 0.000 0.000 0.000
Ga 0.000 0.500 0.500
Ga 0.025 0.867 0.500
Ga 0.048 0.318 0.500
Ga 0.098 0.746 0.000
Ga 0.163 0.454 0.000
Ga 0.163 0.621 0.500
Ga 0.168 0.009 0.500
Ga 0.238 0.826 0.500
Ga 0.262 0.326 0.500
Ga 0.332 0.509 0.500
Ga 0.337 0.121 0.500
Ga 0.337 0.954 0.000
Ga 0.402 0.246 0.000
Ga 0.452 0.818 0.500
Ga 0.475 0.367 0.500
Ga 0.500 0.000 0.500
Ga 0.500 0.500 0.000
Ga 0.525 0.633 0.500
Ga 0.548 0.182 0.500
Ga 0.598 0.754 0.000
Ga 0.663 0.046 0.000
Ga 0.663 0.879 0.500
Ga 0.668 0.491 0.500
Ga 0.738 0.674 0.500
Ga 0.762 0.174 0.500
Ga 0.832 0.991 0.500
Ga 0.837 0.379 0.500
Ga 0.837 0.546 0.000
Ga 0.902 0.254 0.000
Ga 0.952 0.682 0.500
Ga 0.975 0.133 0.500
Fe 0.034 0.592 0.000
Fe 0.152 0.903 0.000
Fe 0.348 0.403 0.000
Fe 0.466 0.092 0.000
Fe 0.534 0.908 0.000
Fe 0.652 0.597 0.000
Fe 0.848 0.097 0.000
Fe 0.966 0.408 0.000

---

23.
Pr3GaFeS7: relaxed, GGA-PBE.

Properties
total DFT energy (no corrections) = -6.02 eV/atom
crystal system = hexagonal

Cell: 10.076 10.076 6.072 Å, 90.00 90.00 120.00°
Sites, in units of the cell vectors:
Pr 0.145 0.374 0.000
Pr 0.229 0.855 0.000
Pr 0.374 0.229 0.500
Pr 0.626 0.771 0.000
Pr 0.771 0.145 0.500
Pr 0.855 0.626 0.500
Ga 0.333 0.667 0.421
Ga 0.667 0.333 0.921
Fe 0.000 0.000 0.291
Fe 0.000 0.000 0.791
S 0.092 0.233 0.557
S 0.095 0.577 0.271
S 0.141 0.908 0.557
S 0.233 0.141 0.057
S 0.333 0.667 0.791
S 0.423 0.518 0.271
S 0.482 0.905 0.271
S 0.518 0.095 0.771
S 0.577 0.482 0.771
S 0.667 0.333 0.291
S 0.767 0.859 0.557
S 0.859 0.092 0.057
S 0.905 0.423 0.771
S 0.908 0.767 0.057

---

24.
GaFe2Pt: relaxed, GGA-PBE.

Properties
total DFT energy (no corrections) = -6.70 eV/atom
crystal system = cubic

Cell: 4.229 4.229 4.229 Å, 60.00 60.00 60.00°
Sites, in units of the cell vectors:
Ga 0.000 0.000 0.000
Fe 0.500 0.500 0.500
Fe 0.750 0.750 0.750
Pt 0.250 0.250 0.250

---

25.
GaFePt2: relaxed, GGA-PBE.

Properties
total DFT energy (no corrections) = -6.09 eV/atom
crystal system = cubic

Cell: 4.371 4.371 4.371 Å, 60.00 60.00 60.00°
Sites, in units of the cell vectors:
Ga 0.000 0.000 0.000
Fe 0.250 0.250 0.250
Pt 0.500 0.500 0.500
Pt 0.750 0.750 0.750